[1]
## Ca2SmHfP4 (PBE)

Data for crystalline Ca2SmHfP4 at its relaxed geometry.

The structure in POSCAR format:
```
Ca2SmHfP4
1.0
-0.290 -3.954 0.023
4.605 -0.309 5.140
-6.470 0.491 2.773
Ca Sm Hf P
2 1 1 4
direct
0.500 0.000 0.500 Ca
0.000 0.500 0.500 Ca
0.500 0.500 0.000 Sm
0.000 0.000 0.000 Hf
0.500 0.225 0.225 P
0.500 0.775 0.775 P
0.000 0.237 0.766 P
0.000 0.763 0.234 P
```

formation enthalpy at 0 K: -27.72 kcal/mol of atoms
calculated density: 4.84 g cm⁻³
space group: P2/m (10)

=====

[2]
## Ac2GaNi12B3 (PBE)

Data for crystalline Ac2GaNi12B3 at its relaxed geometry.

The structure in POSCAR format:
```
Ac2GaNi12B3
1.0
-5.711 0.217 4.069
-1.957 -6.026 3.013
1.033 -0.549 6.917
Ac Ga Ni B
2 1 12 3
direct
0.611 0.611 0.611 Ac
0.389 0.389 0.389 Ac
0.000 0.000 0.000 Ga
0.308 0.308 0.921 Ni
0.889 0.889 0.381 Ni
0.381 0.889 0.889 Ni
0.921 0.308 0.308 Ni
0.889 0.381 0.889 Ni
0.308 0.921 0.308 Ni
0.692 0.692 0.079 Ni
0.111 0.111 0.619 Ni
0.619 0.111 0.111 Ni
0.079 0.692 0.692 Ni
0.111 0.619 0.111 Ni
0.692 0.079 0.692 Ni
0.500 0.000 0.000 B
0.000 0.500 0.000 B
0.000 0.000 0.500 B
```

formation enthalpy at 0 K: -1.89 kcal/mol of atoms
calculated density: 7.99 g cm⁻³
space group: R-3m (166)

=====

[3]
## Y2CdCl (PBE)

Data for crystalline Y2CdCl at its relaxed geometry.

The structure in POSCAR format:
```
Y2CdCl
1.0
-1.568 -0.655 3.114
1.485 -6.081 -0.532
4.348 0.854 2.368
Cd Cl Y
1 1 2
direct
0.500 0.000 0.500 Cd
0.000 0.500 0.500 Cl
0.000 0.000 0.000 Y
0.500 0.500 0.000 Y
```

relative energy among the computed polymorphs: 140 kJ/mol of formula units
calculated density: 4.83 g cm⁻³
raw formation energy: -0.43 eV/atom
space group: Pmmm (47)

=====

[4]
## BaZn4F8 (PBE)

Data for crystalline BaZn4F8 at its relaxed geometry.

The structure in POSCAR format:
```
BaZn4F8
1.0
-5.937 2.003 -2.710
-5.648 0.083 3.835
-2.770 5.954 1.869
Ba Zn F
1 4 8
direct
0.750 0.750 0.750 Ba
0.891 0.370 0.370 Zn
0.370 0.891 0.370 Zn
0.370 0.370 0.891 Zn
0.370 0.370 0.370 Zn
0.562 0.146 0.146 F
0.146 0.562 0.146 F
0.146 0.146 0.562 F
0.146 0.146 0.146 F
0.200 0.600 0.600 F
0.600 0.200 0.600 F
0.600 0.600 0.200 F
0.600 0.600 0.600 F
```

calculated density: 4.07 g cm⁻³
raw formation energy: -2.19 eV/atom
space group: F-43m (216)

=====

[5]
## CrCoIr2 (PBE)

Data for crystalline CrCoIr2 at its relaxed geometry.

The structure in POSCAR format:
```
CrCoIr2
1.0
-2.567 1.756 -3.354
-1.903 -0.723 -4.096
-4.073 -1.473 1.275
Co Cr Ir
1 1 2
direct
0.498 0.498 0.502 Co
0.752 0.752 0.744 Cr
0.001 0.001 0.989 Ir
0.249 0.249 0.265 Ir
```

formation enthalpy at 0 K: -0.97 kcal/mol of atoms
calculated density: 15.85 g cm⁻³
space group: Cm (8)

=====

[6]
## CaGdErSc (PBE)

Data for crystalline CaGdErSc at its relaxed geometry.

The structure in POSCAR format:
```
CaGdErSc
1.0
-3.527 2.838 -3.332
-5.420 -1.468 -0.254
-3.924 3.335 2.253
Sc Ca Gd Er
1 1 1 1
direct
0.000 0.000 0.000 Sc
0.750 0.750 0.750 Ca
0.500 0.500 0.500 Gd
0.250 0.250 0.250 Er
```

formation enthalpy at 0 K: 4.61 kcal/mol of atoms
calculated density: 5.41 g cm⁻³
space group: F-43m (216)

=====

[7]
## Zr4Be3 (PBE)

Data for crystalline Zr4Be3 at its relaxed geometry.

The structure in POSCAR format:
```
Zr4Be3
1.0
7.986 -2.824 5.633
4.160 -2.661 8.893
-6.586 0.329 -7.745
Zr Be
4 3
direct
0.830 0.830 0.000 Zr
0.170 0.170 0.000 Zr
0.571 0.571 0.000 Zr
0.429 0.429 0.000 Zr
0.000 0.000 0.000 Be
0.698 0.698 0.000 Be
0.302 0.302 0.000 Be
```

formation enthalpy at 0 K: 4.23 kcal/mol of atoms
relative energy among the computed polymorphs: 109 kJ/mol of formula units
calculated density: 5.22 g cm⁻³
space group: I4/mmm (139)

=====

[8]
## Tl2Cd2Se (PBE)

Data for crystalline Tl2Cd2Se at its relaxed geometry.

The structure in POSCAR format:
```
Tl2Cd2Se
1.0
-1.875 -7.203 -2.553
5.745 -3.062 4.420
-3.179 -0.511 3.778
Tl Se Cd
4 2 4
direct
0.352 0.852 0.000 Tl
0.852 0.648 0.000 Tl
0.648 0.148 0.000 Tl
0.148 0.352 0.000 Tl
0.000 0.000 0.000 Se
0.500 0.500 0.000 Se
0.164 0.664 0.500 Cd
0.664 0.836 0.500 Cd
0.836 0.336 0.500 Cd
0.336 0.164 0.500 Cd
```

relative energy among the computed polymorphs: 65 kJ/mol of formula units
calculated density: 7.70 g cm⁻³
raw formation energy: 0.05 eV/atom
space group: P4/mbm (127)

=====

[9]
## Tb12Ho6Mg (PBE)

Data for crystalline Tb12Ho6Mg at its relaxed geometry.

The structure in POSCAR format:
```
Tb12Ho6Mg
1.0
8.402 0.696 0.833
-0.586 8.410 0.833
-0.586 -0.683 8.424
Tb Ho Mg
12 6 1
direct
0.781 0.539 0.434 Tb
0.434 0.781 0.539 Tb
0.539 0.434 0.781 Tb
0.219 0.461 0.566 Tb
0.566 0.219 0.461 Tb
0.461 0.566 0.219 Tb
0.014 0.184 0.364 Tb
0.816 0.636 0.986 Tb
0.636 0.986 0.816 Tb
0.986 0.816 0.636 Tb
0.184 0.364 0.014 Tb
0.364 0.014 0.184 Tb
0.739 0.903 0.293 Ho
0.707 0.261 0.097 Ho
0.097 0.707 0.261 Ho
0.261 0.097 0.707 Ho
0.293 0.739 0.903 Ho
0.903 0.293 0.739 Ho
0.000 0.000 0.000 Mg
```

formation enthalpy at 0 K: 3.10 kcal/mol of atoms
relative energy among the computed polymorphs: 0 kJ/mol of formula units
calculated density: 7.98 g cm⁻³
space group: R-3 (148)

=====

Which value of calculated density does entry 3 give? 4.83 g cm⁻³

=====

What is the calculated density in the ninth record? 7.98 g cm⁻³

=====

What is the calculated density in the ninth record? 7.98 g cm⁻³